Computed, not measured: crystalline MnO2 at its relaxed geometry at the PBE+U level of DFT.

```
MnO2
1.0
0.0000 4.7815 4.8045
1.4295 0.0000 4.8045
1.4295 4.7815 0.0000
O Mn
4 2
Direct
0.1306 0.5163 0.1418
0.1082 0.0386 0.1194
0.7337 0.1194 0.0386
0.2114 0.1418 0.5163
0.4081 0.5919 0.5919
0.6581 0.8419 0.8419
```

energy = -6.801 eV per atom